Record 1
A plane-wave DFT calculation with GGA-PBE was carried out for a relaxed structure of SrIn3Ir.

Structure (POSCAR):
```
SrIn3Ir
1.0
7.550 0.000 0.000
0.000 4.516 0.000
-2.087 0.000 7.464
Sr In Ir
2 6 2
direct
0.207 0.250 0.180
0.793 0.750 0.820
0.082 0.250 0.655
0.345 0.750 0.910
0.352 0.750 0.517
0.648 0.250 0.483
0.655 0.250 0.090
0.918 0.750 0.345
0.456 0.250 0.737
0.544 0.750 0.263
```

SG: P2_1/m, No. 11
V: 254.5 Å³/cell
E_form: -0.34 eV per atom
electronic total energy: -4.087 eV/atom

=====

Record 2
A plane-wave DFT calculation with GGA-PBE was carried out for a relaxed structure of La2Ni3P4Pt.

Structure (POSCAR):
```
La2Ni3P4Pt
1.0
4.160 0.000 0.000
0.000 4.160 0.000
0.000 0.000 9.362
La Ni P Pt
2 3 4 1
direct
0.000 0.500 0.242
0.500 0.000 0.758
0.000 0.500 0.891
0.500 0.000 0.109
0.500 0.500 0.500
0.000 0.000 0.000
0.000 0.500 0.638
0.500 0.000 0.362
0.500 0.500 0.000
0.000 0.000 0.500
```

SG: P-4m2, No. 115
V: 162.0 Å³/cell
E_form: -1.01 eV per atom
electronic total energy: -6.500 eV/atom

=====

Record 3
A plane-wave DFT calculation with GGA-PBE was carried out for a relaxed structure of Na4HgPb.

Structure (POSCAR):
```
Na4HgPb
1.0
11.220 -2.858 0.000
11.220 2.858 0.000
-1.377 0.000 5.405
Na Hg Pb
8 2 2
direct
0.095 0.559 0.077
0.132 0.705 0.669
0.295 0.868 0.831
0.441 0.905 0.423
0.559 0.095 0.577
0.705 0.132 0.169
0.868 0.295 0.331
0.905 0.441 0.923
0.000 0.500 0.500
0.500 0.000 0.000
0.305 0.695 0.250
0.695 0.305 0.750
```

SG: C2/c, No. 15
V: 346.6 Å³/cell
E_form: -0.14 eV per atom
electronic total energy: -1.693 eV/atom

=====

Record 4
A plane-wave DFT calculation with GGA-PBE was carried out for a relaxed structure of Na2CdSF.

Structure (POSCAR):
```
Na2CdSF
1.0
5.282 0.000 0.000
0.000 5.282 0.000
0.000 0.000 5.132
Na Cd S F
2 1 1 1
direct
0.000 0.500 0.000
0.500 0.000 0.000
0.000 0.000 0.500
0.000 0.000 0.000
0.500 0.500 0.500
```

SG: P4/mmm, No. 123
V: 143.2 Å³/cell
raw formation energy: -0.98 eV per atom
electronic total energy: -2.893 eV/atom